Entry 1:
Density functional theory data (PBE) for a geometry-optimized Sc4TiIn5 structure.

ΔH_f (0 K), eV/atom: -0.37
DOS at the Fermi energy, states/eV/f.u.: 7.35

The structure in POSCAR format:
```
Sc4TiIn5
1.0
-1.8282 -1.6705 -1.9530
2.4054 -0.2686 -2.0220
6.2659 -18.4348 9.9028
Sc Ti In
4 1 5
Direct
0.0000 0.0000 0.1932
0.0000 0.0000 0.3978
0.0000 0.0000 0.6022
0.0000 0.0000 0.8068
0.0000 0.0000 0.0000
0.5000 0.5000 0.0922
0.5000 0.5000 0.2959
0.5000 0.5000 0.5000
0.5000 0.5000 0.7041
0.5000 0.5000 0.9078
```

Entry 2:
Density functional theory data (PBE) for a geometry-optimized SiRhBr structure.

DOS at the Fermi energy, states/eV/f.u.: 0.85
Energy relative to the lowest polymorph listed for this composition, meV per atom: 419
E_form (uncorrected), eV/f.u.: 0.4

The structure in POSCAR format:
```
SiRhBr
1.0
4.3169 0.0000 0.0000
2.1584 3.7385 0.0000
2.1584 1.2462 3.5247
Br Rh Si
1 1 1
Direct
0.5000 0.5000 0.5000
0.2500 0.2500 0.2500
0.0000 0.0000 0.0000
```

Entry 3:
Density functional theory data (PBE) for a geometry-optimized MgSc2TiC structure.

ΔH_f (0 K), eV/atom: 1.93
DOS at the Fermi energy, states/eV/f.u.: 5.17
Energy relative to the lowest polymorph listed for this composition, meV per atom: 2226

The structure in POSCAR format:
```
MgSc2TiC
1.0
-3.6056 1.3299 2.9156
1.7938 -3.0887 3.6273
2.7166 3.5965 1.7190
Sc Mg C Ti
2 1 1 1
Direct
0.0000 0.0000 0.5000
0.5000 0.0000 0.0000
0.0000 0.5000 0.0000
0.5000 0.5000 0.5000
0.0000 0.0000 0.0000
```

Entry 4:
Density functional theory data (PBE) for a geometry-optimized Er4Cd5Cu2 structure.

ΔH_f (0 K), eV/atom: -0.27
DOS at the Fermi energy, states/eV/f.u.: 7.35

The structure in POSCAR format:
```
Er4Cd5Cu2
1.0
3.5217 0.0000 0.0000
0.0000 7.6079 0.0382
0.0000 -0.6866 9.5490
Er Cd Cu
4 5 2
Direct
0.5000 0.7679 0.5553
0.5000 0.1664 0.8565
0.5000 0.2321 0.4447
0.5000 0.8336 0.1435
0.0000 0.5527 0.3149
0.0000 0.1827 0.1536
0.0000 0.5000 0.0000
0.0000 0.8173 0.8464
0.0000 0.4473 0.6851
0.0000 0.0608 0.6296
0.0000 0.9392 0.3704
```

Entry 5:
Density functional theory data (PBE) for a geometry-optimized SmEr3Tm2S6 structure.

DOS at the Fermi energy, states/eV/f.u.: 4.70
E_form (uncorrected), eV/f.u.: -23.5

The structure in POSCAR format:
```
SmEr3Tm2S6
1.0
-0.2958 -6.2897 -2.3738
2.3720 4.9704 -3.8666
5.1528 -0.6557 4.2627
Sm Er Tm S
1 3 2 6
Direct
0.0000 0.0000 0.0000
0.1617 0.8383 0.5000
0.8383 0.1617 0.5000
0.5000 0.5000 0.5000
0.3343 0.6657 0.0000
0.6657 0.3343 0.0000
0.9156 0.5723 0.7460
0.7408 0.7408 0.2505
0.0844 0.4277 0.2540
0.5723 0.9156 0.7460
0.2592 0.2592 0.7495
0.4277 0.0844 0.2540
```

Entry 6:
Density functional theory data (PBE) for a geometry-optimized LiIrCl6 structure.

DOS at the Fermi energy, states/eV/f.u.: 7.71
Energy relative to the lowest polymorph listed for this composition, meV per atom: 23
E_form (uncorrected), eV/f.u.: -5.2

The structure in POSCAR format:
```
LiIrCl6
1.0
-4.1791 -2.6124 -3.7426
0.1079 -6.1101 -0.9710
-4.7322 -3.6481 2.7145
Li Ir Cl
1 1 6
Direct
0.5000 0.5000 0.5000
0.0000 0.0000 0.0000
0.0722 0.3923 0.7598
0.7757 0.0722 0.7597
0.6077 0.2243 0.2402
0.2243 0.9278 0.2403
0.9278 0.6077 0.2402
0.3923 0.7757 0.7598
```

Entry 7:
Density functional theory data (PBE) for a geometry-optimized RbCaUBr6 structure.

E_form (uncorrected), eV/f.u.: -14.9

The structure in POSCAR format:
```
RbCaUBr6
1.0
7.6190 0.0000 0.0000
-3.8095 6.5982 0.0000
0.0000 0.0000 15.0057
Rb Ca U Br
2 2 2 12
Direct
0.0000 0.0000 0.0000
0.0000 0.0000 0.5000
0.3333 0.6667 0.2500
0.6667 0.3333 0.7500
0.6667 0.3333 0.2500
0.3333 0.6667 0.7500
0.6260 0.6262 0.1389
0.0002 0.3740 0.1389
0.3740 0.0002 0.6389
0.9998 0.6260 0.8611
0.3738 0.3740 0.3611
0.0002 0.6262 0.3611
0.6262 0.0002 0.8611
0.6260 0.9998 0.3611
0.9998 0.3738 0.6389
0.3738 0.9998 0.1389
0.6262 0.6260 0.6389
0.3740 0.3738 0.8611
```

Entry 8:
Density functional theory data (PBE) for a geometry-optimized CdRe2Ir structure.

ΔH_f (0 K), eV/atom: 0.18
DOS at the Fermi energy, states/eV/f.u.: 3.85

The structure in POSCAR format:
```
CdRe2Ir
1.0
2.8308 0.0000 0.0000
0.0000 2.8308 0.0000
0.0000 0.0000 8.0126
Re Ir Cd
2 1 1
Direct
0.0000 0.0000 0.9978
0.5000 0.5000 0.2249
0.5000 0.5000 0.7727
0.0000 0.0000 0.5047
```

What did the eighth record say?
Density functional theory data (PBE) for a geometry-optimized CdRe2Ir structure.

ΔH_f (0 K), eV/atom: 0.18
DOS at the Fermi energy, states/eV/f.u.: 3.85

The structure in POSCAR format:
```
CdRe2Ir
1.0
2.8308 0.0000 0.0000
0.0000 2.8308 0.0000
0.0000 0.0000 8.0126
Re Ir Cd
2 1 1
Direct
0.0000 0.0000 0.9978
0.5000 0.5000 0.2249
0.5000 0.5000 0.7727
0.0000 0.0000 0.5047
```